Here is a geometry-optimized Rb2FeCoGe structure from Alexandria. Energies are from PBE-GGA.

a b c (Å): 6.6622 6.6622 4.0719
angles (deg): 90.00 90.00 90.00
Space group P4/mmm (No. 123)
Inequivalent atoms, fractional coordinates:
Rb1 0.0000 0.5000 0.0000 [2 per cell]
Fe1 0.0000 0.0000 0.5000 [1 per cell]
Co1 0.0000 0.0000 0.0000 [1 per cell]
Ge1 0.5000 0.5000 0.5000 [1 per cell]

Properties
N(E_F)	5.3	states/eV per cell
calculated total energy	-16.25	eV for the cell shown
total magnetization	3.12	μB/f.u.

***

Here is a geometry-optimized TbScCu2 structure from Alexandria. Energies are from PBE-GGA.

a b c (Å): 3.3559 3.3559 6.7930
angles (deg): 90.00 90.00 90.00
Space group P4/mmm (No. 123)
Inequivalent atoms, fractional coordinates:
Tb1 0.0000 0.0000 0.0000 [1 per cell]
Sc1 0.0000 0.0000 0.5000 [1 per cell]
Cu1 0.5000 0.5000 0.2825 [2 per cell]

Properties
N(E_F)	2.5	states/eV per cell
energy above the lowest structure with this stoichiometry	0.0	meV/atom
calculated total energy	-20.14	eV for the cell shown
total magnetization	0.00	μB/f.u.

***

Here is a geometry-optimized SbC5 structure from Alexandria. Energies are from PBE-GGA.

a b c (Å): 7.1777 2.7463 7.5703
angles (deg): 90.00 92.56 90.00
Space group Cm (No. 8)
Inequivalent atoms, fractional coordinates:
Sb1 0.0000 0.0000 0.0000 [2 per cell]
C1 0.2947 0.5000 0.2031 [2 per cell]
C2 0.3000 0.0000 0.8275 [2 per cell]
C3 0.3041 0.5000 0.3696 [2 per cell]
C4 0.3039 0.5000 0.5502 [2 per cell]
C5 0.3048 0.0000 0.6435 [2 per cell]

Properties
N(E_F)	1.9	states/eV per cell
energy above the lowest structure with this stoichiometry	119.7	meV/atom
calculated total energy	-85.68	eV for the cell shown
total magnetization	0.00	μB/f.u.
energy relative to the elements, uncorrected	1.23	eV/atom

***

Here is a geometry-optimized Ga2TeHW structure from Alexandria. Energies are from PBE-GGA.

a b c (Å): 3.9552 3.9552 5.1786
angles (deg): 90.00 90.00 90.00
Space group P4/mmm (No. 123)
Inequivalent atoms, fractional coordinates:
Ga1 0.0000 0.5000 0.0000 [2 per cell]
Te1 0.0000 0.0000 0.5000 [1 per cell]
H1 0.0000 0.0000 0.0000 [1 per cell]
W1 0.5000 0.5000 0.5000 [1 per cell]

Properties
N(E_F)	4.5	states/eV per cell
calculated total energy	-21.59	eV for the cell shown
total magnetization	0.00	μB/f.u.

***

Here is a geometry-optimized PmFe4Sb12 structure from Alexandria. Energies are from PBE-GGA.

a b c (Å): 9.1754 9.1754 9.1754
angles (deg): 90.00 90.00 90.00
Space group Im-3 (No. 204)
Inequivalent atoms, fractional coordinates:
Pm1 0.0000 0.0000 0.0000 [2 per cell]
Fe1 0.2500 0.2500 0.2500 [8 per cell]
Sb1 0.0000 0.3340 0.1624 [24 per cell]

Properties
N(E_F)	27.0	states/eV per cell
calculated total energy	-182.55	eV for the cell shown
total magnetization	1.14	μB/f.u.
energy relative to the elements, uncorrected	-0.19	eV/atom

***

Here is a geometry-optimized KZn2Pb structure from Alexandria. Energies are from PBE-GGA.

a b c (Å): 7.4544 7.4544 7.4544
angles (deg): 90.00 90.00 90.00
Space group Fm-3m (No. 225)
Inequivalent atoms, fractional coordinates:
K1 0.0000 0.0000 0.0000 [4 per cell]
Zn1 0.2500 0.2500 0.2500 [8 per cell]
Pb1 0.0000 0.0000 0.5000 [4 per cell]

Properties
N(E_F)	13.0	states/eV per cell
energy above the lowest structure with this stoichiometry	111.5	meV/atom
calculated total energy	-27.46	eV for the cell shown
total magnetization	0.00	μB/f.u.

***

Here is a geometry-optimized FeTcRu2 structure from Alexandria. Energies are from PBE-GGA.

a b c (Å): 2.6944 3.7746 5.3442
angles (deg): 90.00 90.00 90.00
Space group Pmmm (No. 47)
Inequivalent atoms, fractional coordinates:
Fe1 0.0000 0.0000 0.0000 [1 per cell]
Tc1 0.0000 0.0000 0.5000 [1 per cell]
Ru1 0.5000 0.5000 0.2438 [2 per cell]

Properties
N(E_F)	5.1	states/eV per cell
energy above the lowest structure with this stoichiometry	0.7	meV/atom
calculated total energy	-37.00	eV for the cell shown
total magnetization	2.03	μB/f.u.

***

Here is a geometry-optimized NaNd2AlO5 structure from Alexandria. Energies are from PBE-GGA.

a b c (Å): 6.7026 6.7026 5.6916
angles (deg): 90.00 90.00 90.00
Space group P4/mbm (No. 127)
Inequivalent atoms, fractional coordinates:
Na1 0.0000 0.0000 0.0000 [2 per cell]
Nd1 0.1790 0.3210 0.5000 [4 per cell]
Al1 0.0000 0.5000 0.0000 [2 per cell]
O1 0.0000 0.0000 0.5000 [2 per cell]
O2 0.1322 0.6322 0.2315 [8 per cell]

Properties
N(E_F)	0.0	states/eV per cell
calculated total energy	-128.57	eV for the cell shown
total magnetization	0.00	μB/f.u.
energy relative to the elements, uncorrected	-2.77	eV/atom

***

Here is a geometry-optimized MnSnAsPtI structure from Alexandria. Energies are from PBE-GGA.

a b c (Å): 7.0795 4.0887 9.4940
angles (deg): 90.00 104.53 90.00
Space group Cm (No. 8)
Inequivalent atoms, fractional coordinates:
Mn1 0.0000 0.0000 0.0000 [2 per cell]
Sn1 0.0169 0.5000 0.5562 [2 per cell]
As1 0.2719 0.0000 0.8181 [2 per cell]
Pt1 0.4043 0.5000 0.7166 [2 per cell]
I1 0.2241 0.5000 0.1707 [2 per cell]

Properties
N(E_F)	2.6	states/eV per cell
energy above the lowest structure with this stoichiometry	0.1	meV/atom
calculated total energy	-53.25	eV for the cell shown
total magnetization	4.35	μB/f.u.
energy relative to the elements, uncorrected	-0.24	eV/atom

***

Here is a geometry-optimized U2VSi4Ir3 structure from Alexandria. Energies are from PBE-GGA.

a b c (Å): 4.1111 4.1111 9.9470
angles (deg): 90.00 90.00 90.00
Space group P-4m2 (No. 115)
Inequivalent atoms, fractional coordinates:
U1 0.0000 0.5000 0.2485 [2 per cell]
V1 0.5000 0.5000 0.0000 [1 per cell]
Si1 0.0000 0.0000 0.5000 [1 per cell]
Si2 0.0000 0.5000 0.8642 [2 per cell]
Si3 0.5000 0.5000 0.5000 [1 per cell]
Ir1 0.0000 0.0000 0.0000 [1 per cell]
Ir2 0.0000 0.5000 0.6263 [2 per cell]

Properties
N(E_F)	12.1	states/eV per cell
calculated total energy	-86.68	eV for the cell shown
total magnetization	4.54	μB/f.u.
energy relative to the elements, uncorrected	-0.67	eV/atom

***

Here is a geometry-optimized ScMnTl2 structure from Alexandria. Energies are from PBE-GGA.

a b c (Å): 4.4420 4.4420 20.2552
angles (deg): 90.00 90.00 90.00
Space group I-42d (No. 122)
Inequivalent atoms, fractional coordinates:
Sc1 0.0000 0.0000 0.0000 [4 per cell]
Mn1 0.0000 0.0000 0.5000 [4 per cell]
Tl1 0.2408 0.2500 0.6250 [8 per cell]

Properties
N(E_F)	19.6	states/eV per cell
calculated total energy	-74.47	eV for the cell shown
total magnetization	3.66	μB/f.u.

***

Here is a geometry-optimized DyEr4Ni structure from Alexandria. Energies are from PBE-GGA.

a b c (Å): 9.1760 12.5300 5.9747
angles (deg): 90.00 106.89 90.00
Space group C2/c (No. 15)
Inequivalent atoms, fractional coordinates:
Dy1 0.0000 0.0996 0.2500 [4 per cell]
Er1 0.1088 0.3308 0.5539 [8 per cell]
Er2 0.2419 0.0990 0.8753 [8 per cell]
Ni1 0.0000 0.4992 0.2500 [4 per cell]

Properties
N(E_F)	25.9	states/eV per cell
calculated total energy	-116.15	eV for the cell shown
total magnetization	0.00	μB/f.u.

***

Here is a geometry-optimized Ba2NpCu3H12 structure from Alexandria. Energies are from PBE-GGA.

a b c (Å): 6.7827 6.7827 14.8203
angles (deg): 90.00 90.00 120.00
Space group R-3m (No. 166, hexagonal axes)
Inequivalent atoms, fractional coordinates:
Ba1 0.0000 0.0000 0.1125 [6 per cell]
Np1 0.0000 0.0000 0.5000 [3 per cell]
Cu1 0.0000 0.5000 0.0000 [9 per cell]
H1 0.0169 0.5085 0.8852 [18 per cell]
H2 0.1001 0.5500 0.3003 [18 per cell]

Properties
N(E_F)	47.8	states/eV per cell
calculated total energy	-214.74	eV for the cell shown
total magnetization	3.49	μB/f.u.

***

Here is a geometry-optimized LaTb5Tm structure from Alexandria. Energies are from PBE-GGA.

a b c (Å): 5.7964 8.6641 11.8813
angles (deg): 90.00 90.00 90.00
Space group Immm (No. 71)
Inequivalent atoms, fractional coordinates:
La1 0.0000 0.0000 0.0000 [2 per cell]
Tb1 0.0000 0.0000 0.2527 [4 per cell]
Tb2 0.0000 0.3201 0.5000 [4 per cell]
Tb3 0.0000 0.5000 0.0000 [2 per cell]
Tm1 0.0000 0.0000 0.5000 [2 per cell]

Properties
N(E_F)	19.0	states/eV per cell
energy above the lowest structure with this stoichiometry	982.8	meV/atom
calculated total energy	-49.98	eV for the cell shown
total magnetization	0.00	μB/f.u.

***

Here is a geometry-optimized TiVSiIr structure from Alexandria. Energies are from PBE-GGA.

a b c (Å): 6.0613 6.0613 6.0613
angles (deg): 90.00 90.00 90.00
Space group F-43m (No. 216)
Inequivalent atoms, fractional coordinates:
Ti1 0.0000 0.0000 0.0000 [4 per cell]
V1 0.2500 0.2500 0.2500 [4 per cell]
Si1 0.0000 0.0000 0.5000 [4 per cell]
Ir1 0.2500 0.2500 0.7500 [4 per cell]

Properties
N(E_F)	13.9	states/eV per cell
calculated total energy	-134.66	eV for the cell shown
total magnetization	1.98	μB/f.u.
energy relative to the elements, uncorrected	-0.59	eV/atom

***

Here is a geometry-optimized DyTe4 structure from Alexandria. Energies are from PBE-GGA.

a b c (Å): 5.8098 5.8098 5.8098
angles (deg): 90.00 90.00 90.00
Space group Pm-3m (No. 221)
Inequivalent atoms, fractional coordinates:
Dy1 0.0000 0.0000 0.0000 [1 per cell]
Te1 0.0000 0.0000 0.5000 [3 per cell]
Te2 0.5000 0.5000 0.5000 [1 per cell]

Properties
N(E_F)	6.7	states/eV per cell
calculated total energy	-17.07	eV for the cell shown
total magnetization	0.00	μB/f.u.
energy relative to the elements, uncorrected	0.02	eV/atom

***

Here is a geometry-optimized LaSeN2O structure from Alexandria. Energies are from PBE-GGA.

a b c (Å): 5.0678 5.0678 4.2787
angles (deg): 90.00 90.00 90.00
Space group P4/mmm (No. 123)
Inequivalent atoms, fractional coordinates:
La1 0.0000 0.0000 0.0000 [1 per cell]
Se1 0.5000 0.5000 0.5000 [1 per cell]
N1 0.0000 0.5000 0.0000 [2 per cell]
O1 0.0000 0.0000 0.5000 [1 per cell]

Properties
N(E_F)	4.1	states/eV per cell
calculated total energy	-25.73	eV for the cell shown
total magnetization	3.01	μB/f.u.
energy relative to the elements, uncorrected	0.86	eV/atom

***

Here is a geometry-optimized Er2BeSi2Ni5 structure from Alexandria. Energies are from PBE-GGA.

a b c (Å): 9.7505 9.7505 2.9045
angles (deg): 90.00 90.00 90.00
Space group P4/mbm (No. 127)
Inequivalent atoms, fractional coordinates:
Er1 0.1737 0.3263 0.0000 [4 per cell]
Be1 0.0000 0.0000 0.0000 [2 per cell]
Si1 0.1297 0.6297 0.0000 [4 per cell]
Ni1 0.0000 0.5000 0.5000 [2 per cell]
Ni2 0.0542 0.8093 0.5000 [8 per cell]

Properties
N(E_F)	19.4	states/eV per cell
calculated total energy	-113.14	eV for the cell shown
total magnetization	0.00	μB/f.u.
energy relative to the elements, uncorrected	-0.40	eV/atom

***

Here is a geometry-optimized TlZn2Cr structure from Alexandria. Energies are from PBE-GGA.

a b c (Å): 6.5984 6.5984 6.5984
angles (deg): 90.00 90.00 90.00
Space group F-43m (No. 216)
Inequivalent atoms, fractional coordinates:
Tl1 0.0000 0.0000 0.0000 [4 per cell]
Zn1 0.0000 0.0000 0.5000 [4 per cell]
Zn2 0.2500 0.2500 0.7500 [4 per cell]
Cr1 0.2500 0.2500 0.2500 [4 per cell]

Properties
N(E_F)	6.3	states/eV per cell
energy above the lowest structure with this stoichiometry	80.8	meV/atom
calculated total energy	-51.72	eV for the cell shown
total magnetization	3.68	μB/f.u.

***

Here is a geometry-optimized Tb12Er3Mg structure from Alexandria. Energies are from PBE-GGA.

a b c (Å): 4.9891 4.9891 20.0394
angles (deg): 90.00 90.00 90.00
Space group P4/mmm (No. 123)
Inequivalent atoms, fractional coordinates:
Tb1 0.0000 0.0000 0.0000 [1 per cell]
Tb2 0.0000 0.0000 0.2461 [2 per cell]
Tb3 0.0000 0.0000 0.5000 [1 per cell]
Tb4 0.0000 0.5000 0.1233 [4 per cell]
Tb5 0.0000 0.5000 0.3740 [4 per cell]
Er1 0.5000 0.5000 0.2482 [2 per cell]
Er2 0.5000 0.5000 0.5000 [1 per cell]
Mg1 0.5000 0.5000 0.0000 [1 per cell]

Properties
N(E_F)	21.9	states/eV per cell
calculated total energy	-70.56	eV for the cell shown
total magnetization	0.00	μB/f.u.

***

Here is a geometry-optimized Zn3In structure from Alexandria. Energies are from PBE-GGA.

a b c (Å): 3.1614 3.1614 25.7384
angles (deg): 90.00 90.00 120.00
Space group R-3m (No. 166, hexagonal axes)
Inequivalent atoms, fractional coordinates:
Zn1 0.0000 0.0000 0.0000 [3 per cell]
Zn2 0.0000 0.0000 0.2590 [6 per cell]
In1 0.0000 0.0000 0.5000 [3 per cell]

Properties
N(E_F)	2.6	states/eV per cell
calculated total energy	-18.57	eV for the cell shown
total magnetization	0.00	μB/f.u.

***

Here is a geometry-optimized MgAlSn3 structure from Alexandria. Energies are from PBE-GGA.

a b c (Å): 5.3204 5.3204 5.3204
angles (deg): 90.00 90.00 90.00
Space group Pm-3m (No. 221)
Inequivalent atoms, fractional coordinates:
Mg1 0.0000 0.0000 0.0000 [1 per cell]
Al1 0.5000 0.5000 0.5000 [1 per cell]
Sn1 0.0000 0.5000 0.5000 [3 per cell]

Properties
N(E_F)	2.9	states/eV per cell
energy above the lowest structure with this stoichiometry	0.0	meV/atom
calculated total energy	-15.38	eV for the cell shown
total magnetization	0.00	μB/f.u.

***

Here is a geometry-optimized Th2Ge3MoIr4 structure from Alexandria. Energies are from PBE-GGA.

a b c (Å): 4.2372 4.2372 10.4981
angles (deg): 90.00 90.00 90.00
Space group P-4m2 (No. 115)
Inequivalent atoms, fractional coordinates:
Th1 0.0000 0.5000 0.2471 [2 per cell]
Ge1 0.0000 0.5000 0.8688 [2 per cell]
Ge2 0.5000 0.5000 0.5000 [1 per cell]
Mo1 0.0000 0.0000 0.5000 [1 per cell]
Ir1 0.0000 0.0000 0.0000 [1 per cell]
Ir2 0.0000 0.5000 0.6334 [2 per cell]
Ir3 0.5000 0.5000 0.0000 [1 per cell]

Properties
N(E_F)	6.3	states/eV per cell
calculated total energy	-82.22	eV for the cell shown
total magnetization	0.00	μB/f.u.